Density functional theory data (GGA-PBEsol) for a relaxed structure of Zr2Si.

## Properties
Space group   Fm-3m
Density of states at the Fermi level   2.96 states/eV/f.u.
Total magnetic moment   0.00 μB per cell
Final energy   -8.416 eV/atom

Cell lengths 4.459, 4.459, 4.459 Å; angles 60.00, 60.00, 60.00 degrees
Atoms (fractional coordinates):
Zr (0.250, 0.250, 0.250)
Zr (0.750, 0.750, 0.750)
Si (0.000, 0.000, 0.000)